Density functional theory data (PBE) for a geometry-optimized Al4CrW structure.

Cell lengths 5.039, 5.039, 5.039 Å; angles 60.00, 60.00, 60.00 degrees
Site moments in Bohr magnetons follow the coordinates.
Fractional coordinates of all 6 atoms:
Al  0.625  0.625  0.126  -0.01
Al  0.625  0.126  0.625  -0.01
Al  0.625  0.625  0.625  -0.01
Al  0.126  0.625  0.625  -0.01
Cr  0.250  0.250  0.250  2.95
W  0.000  0.000  0.000  0.14

Properties
**Space group**: No. 216
**Calculated volume**: 90.47 Å³/f.u.
**Formation enthalpy at 0 K**: 0.1642 eV per atom